(1)
Density functional theory data (PBE) for Na2Al3SnAu12 after structural relaxation.

Computed properties:
Total moment ... 0.00 μB/f.u.
E ... -3.224 eV per atom
Density of states at the Fermi level ... 18.65 states/eV/cell

Cell: 8.5938 8.5938 18.8105 Å, 90.00 90.00 120.00°
Space group R-3m (No. 166, hexagonal axes)
Inequivalent atoms, fractional coordinates:
Na  0.0000  0.0000  0.0961 (multiplicity 6)
Al  0.0000  0.5000  0.0000 (multiplicity 9)
Sn  0.0000  0.0000  0.5000 (multiplicity 3)
Au  0.0191  0.5095  0.3713 (multiplicity 18)
Au  0.0307  0.5153  0.8663 (multiplicity 18)

=====

(2)
Density functional theory data (PBE) for NaAl2SnAu4 after structural relaxation.

Computed properties:
Total moment ... 0.00 μB/f.u.
E ... -3.416 eV per atom
Density of states at the Fermi level ... 9.26 states/eV/cell

Cell: 4.7907 4.7907 22.7876 Å, 90.00 90.00 120.00°
Space group R-3m (No. 166, hexagonal axes)
Inequivalent atoms, fractional coordinates:
Na  0.0000  0.0000  0.0000 (multiplicity 3)
Al  0.0000  0.0000  0.2544 (multiplicity 6)
Sn  0.0000  0.0000  0.5000 (multiplicity 3)
Au  0.0000  0.0000  0.1249 (multiplicity 6)
Au  0.0000  0.0000  0.3730 (multiplicity 6)